Entry 1:
The following is a DFT calculation (PBE) of an optimized crystal structure of LaScTc2.

## Properties
N(E_F) in states/eV per cell: 4.99
Space-group type: Pmmm

Lattice parameters (Å, degrees): 3.387 4.412 5.175 90.00 90.00 90.00
Element x y z (fractional)
La1 0.000 0.000 0.000
Sc1 0.500 0.000 0.500
Tc1 0.000 0.500 0.500
Tc2 0.500 0.500 0.000

Entry 2:
The following is a DFT calculation (PBE) of an optimized crystal structure of LaScTc2.

## Properties
N(E_F) in states/eV per cell: 4.30
Space-group type: C2/m

Lattice parameters (Å, degrees): 5.136 5.136 5.683 110.14 110.14 43.57
Element x y z (fractional)
La1 0.000 0.000 0.000
Sc1 0.500 0.500 0.500
Tc1 0.252 0.252 0.632
Tc2 0.748 0.748 0.368

Entry 3:
The following is a DFT calculation (PBE) of an optimized crystal structure of LaScTc2.

## Properties
N(E_F) in states/eV per cell: 3.75
Space-group type: R-3m

Lattice parameters (Å, degrees): 8.655 8.655 8.655 21.82 21.82 21.82
Element x y z (fractional)
La1 0.000 0.000 0.000
Sc1 0.500 0.500 0.500
Tc1 0.249 0.249 0.249
Tc2 0.751 0.751 0.751

no.,energy of formation (eV/atom),magnetization (Bohr magnetons per cell),VASP energy (eV for the cell shown)
1,0.330,0.0,-30.7
2,0.233,0.0,-31.1
3,0.371,0.0,-30.5